Record 1
The following is a DFT calculation (PBE-GGA) of an optimized crystal structure of CaFeAg2.

Computed properties:
The calculated volume is 80.3 Å³ per cell. The relative energy among the computed polymorphs is 43 meV/atom. The value obtained for the formation enthalpy at 0 K is 0.244 eV per atom. For the spin magnetization, the calculation gives 0.72 μB/atom.

The structure in CIF format:
```
data_CaFeAg2
_chemical_formula_sum 'Ca1 Fe1 Ag2'
_cell_length_a 3.494
_cell_length_b 3.494
_cell_length_c 6.580
_cell_angle_alpha 90.00
_cell_angle_beta 90.00
_cell_angle_gamma 90.00
_space_group_name_H-M_alt 'P 1'
_space_group_IT_number 1
loop_
_space_group_symop_operation_xyz
'x,y,z'
loop_
_atom_site_label
_atom_site_fract_x
_atom_site_fract_y
_atom_site_fract_z
Ca1 0.000 0.000 0.000
Fe1 0.500 0.500 0.293
Ag1 0.000 0.000 0.479
Ag2 0.500 0.500 0.712
```


Record 2
The following is a DFT calculation (PBE-GGA) of an optimized crystal structure of TbPdS2O8.

Computed properties:
The calculated volume is 172.3 Å³ per cell. Its formation energy from raw total energies is -18.8 eV per formula unit. For the spin magnetization, the calculation gives 0.08 μB/atom.

The structure in CIF format:
```
data_TbPdS2O8
_chemical_formula_sum 'Tb1 Pd1 S2 O8'
_cell_length_a 5.210
_cell_length_b 5.210
_cell_length_c 7.332
_cell_angle_alpha 90.00
_cell_angle_beta 90.00
_cell_angle_gamma 120.00
_space_group_name_H-M_alt 'P 1'
_space_group_IT_number 1
loop_
_space_group_symop_operation_xyz
'x,y,z'
loop_
_atom_site_label
_atom_site_fract_x
_atom_site_fract_y
_atom_site_fract_z
Tb1 0.000 0.000 0.000
Pd1 0.000 0.000 0.500
S1 0.333 0.667 0.182
S2 0.667 0.333 0.818
O1 0.176 0.353 0.245
O2 0.176 0.824 0.245
O3 0.333 0.667 0.978
O4 0.353 0.176 0.755
O5 0.647 0.824 0.245
O6 0.667 0.333 0.022
O7 0.824 0.176 0.755
O8 0.824 0.647 0.755
```


Record 3
The following is a DFT calculation (PBE-GGA) of an optimized crystal structure of BSbSe.

Computed properties:
The calculated volume is 217.1 Å³ per cell. Its formation energy from raw total energies is 1.0 eV per formula unit. For the spin magnetization, the calculation gives 0.00 μB/atom.

The structure in CIF format:
```
data_BSbSe
_chemical_formula_sum 'B2 Sb2 Se2'
_cell_length_a 5.933
_cell_length_b 6.120
_cell_length_c 6.789
_cell_angle_alpha 90.38
_cell_angle_beta 100.32
_cell_angle_gamma 115.93
_space_group_name_H-M_alt 'P 1'
_space_group_IT_number 1
loop_
_space_group_symop_operation_xyz
'x,y,z'
loop_
_atom_site_label
_atom_site_fract_x
_atom_site_fract_y
_atom_site_fract_z
B1 0.000 0.000 0.000
B2 0.005 0.184 0.836
Sb1 0.117 0.699 0.042
Sb2 0.456 0.188 0.973
Se1 0.221 0.138 0.279
Se2 0.922 0.383 0.661
```


Record 4
The following is a DFT calculation (PBE-GGA) of an optimized crystal structure of BaTeP2O.

Computed properties:
The calculated volume is 118.4 Å³ per cell. Its formation energy from raw total energies is -1.3 eV per formula unit. The relative energy among the computed polymorphs is 0 meV/atom. For the spin magnetization, the calculation gives 0.09 μB/atom.

The structure in CIF format:
```
data_BaTeP2O
_chemical_formula_sum 'Ba1 Te1 P2 O1'
_cell_length_a 5.264
_cell_length_b 5.264
_cell_length_c 4.273
_cell_angle_alpha 90.00
_cell_angle_beta 90.00
_cell_angle_gamma 90.00
_space_group_name_H-M_alt 'P 1'
_space_group_IT_number 1
loop_
_space_group_symop_operation_xyz
'x,y,z'
loop_
_atom_site_label
_atom_site_fract_x
_atom_site_fract_y
_atom_site_fract_z
Ba1 0.000 0.000 0.000
Te1 0.500 0.500 0.500
P1 0.000 0.500 0.500
P2 0.500 0.000 0.500
O1 0.500 0.500 0.000
```


Record 5
The following is a DFT calculation (PBE-GGA) of an optimized crystal structure of K2AlW.

Computed properties:
The calculated volume is 92.3 Å³ per cell. The value obtained for the formation enthalpy at 0 K is 1.192 eV per atom. For the spin magnetization, the calculation gives 0.12 μB/atom.

The structure in CIF format:
```
data_K2AlW
_chemical_formula_sum 'K2 Al1 W1'
_cell_length_a 2.858
_cell_length_b 6.165
_cell_length_c 5.241
_cell_angle_alpha 90.00
_cell_angle_beta 92.37
_cell_angle_gamma 90.00
_space_group_name_H-M_alt 'P 1'
_space_group_IT_number 1
loop_
_space_group_symop_operation_xyz
'x,y,z'
loop_
_atom_site_label
_atom_site_fract_x
_atom_site_fract_y
_atom_site_fract_z
K1 0.247 0.000 0.251
K2 0.753 0.000 0.749
Al1 0.000 0.500 0.500
W1 0.500 0.500 0.000
```


Record 6
The following is a DFT calculation (PBE-GGA) of an optimized crystal structure of TcNiP2.

Computed properties:
The calculated volume is 101.2 Å³ per cell. The relative energy among the computed polymorphs is 289 meV/atom. The value obtained for the formation enthalpy at 0 K is -0.055 eV per atom. For the spin magnetization, the calculation gives 0.00 μB/atom.

The structure in CIF format:
```
data_TcNiP2
_chemical_formula_sum 'Tc2 Ni2 P4'
_cell_length_a 3.609
_cell_length_b 4.227
_cell_length_c 6.632
_cell_angle_alpha 90.00
_cell_angle_beta 90.00
_cell_angle_gamma 90.00
_space_group_name_H-M_alt 'P 1'
_space_group_IT_number 1
loop_
_space_group_symop_operation_xyz
'x,y,z'
loop_
_atom_site_label
_atom_site_fract_x
_atom_site_fract_y
_atom_site_fract_z
Tc1 0.000 0.000 0.000
Tc2 0.500 0.500 0.500
Ni1 0.000 0.000 0.500
Ni2 0.500 0.500 0.000
P1 0.000 0.500 0.223
P2 0.000 0.500 0.777
P3 0.500 0.000 0.277
P4 0.500 0.000 0.723
```


Record 7
The following is a DFT calculation (PBE-GGA) of an optimized crystal structure of Sc4Pt2Au3.

Computed properties:
The calculated volume is 169.0 Å³ per cell. The value obtained for the formation enthalpy at 0 K is -0.908 eV per atom. For the spin magnetization, the calculation gives 0.00 μB/atom.

The structure in CIF format:
```
data_Sc4Pt2Au3
_chemical_formula_sum 'Sc4 Pt2 Au3'
_cell_length_a 4.439
_cell_length_b 4.822
_cell_length_c 8.939
_cell_angle_alpha 84.55
_cell_angle_beta 89.86
_cell_angle_gamma 62.67
_space_group_name_H-M_alt 'P 1'
_space_group_IT_number 1
loop_
_space_group_symop_operation_xyz
'x,y,z'
loop_
_atom_site_label
_atom_site_fract_x
_atom_site_fract_y
_atom_site_fract_z
Sc1 0.025 0.447 0.330
Sc2 0.339 0.821 0.114
Sc3 0.661 0.179 0.886
Sc4 0.975 0.553 0.670
Pt1 0.316 0.869 0.800
Pt2 0.684 0.131 0.200
Au1 0.000 0.500 0.000
Au2 0.340 0.819 0.451
Au3 0.660 0.181 0.549
```


Record 8
The following is a DFT calculation (PBE-GGA) of an optimized crystal structure of BaLa2Mg3.

Computed properties:
The calculated volume is 205.4 Å³ per cell. The value obtained for the formation enthalpy at 0 K is -0.083 eV per atom. For the spin magnetization, the calculation gives 0.00 μB/atom.

The structure in CIF format:
```
data_BaLa2Mg3
_chemical_formula_sum 'Ba1 La2 Mg3'
_cell_length_a 4.045
_cell_length_b 4.045
_cell_length_c 12.550
_cell_angle_alpha 90.00
_cell_angle_beta 90.00
_cell_angle_gamma 90.00
_space_group_name_H-M_alt 'P 1'
_space_group_IT_number 1
loop_
_space_group_symop_operation_xyz
'x,y,z'
loop_
_atom_site_label
_atom_site_fract_x
_atom_site_fract_y
_atom_site_fract_z
Ba1 0.000 0.000 0.000
La1 0.000 0.000 0.348
La2 0.000 0.000 0.652
Mg1 0.500 0.500 0.194
Mg2 0.500 0.500 0.500
Mg3 0.500 0.500 0.806
```


Record 9
The following is a DFT calculation (PBE-GGA) of an optimized crystal structure of NiIr2Pb.

Computed properties:
The calculated volume is 128.0 Å³ per cell. The value obtained for the formation enthalpy at 0 K is 0.544 eV per atom. For the spin magnetization, the calculation gives 0.00 μB/atom.

The structure in CIF format:
```
data_NiIr2Pb
_chemical_formula_sum 'Ni2 Ir4 Pb2'
_cell_length_a 2.973
_cell_length_b 4.644
_cell_length_c 9.273
_cell_angle_alpha 90.00
_cell_angle_beta 90.00
_cell_angle_gamma 90.00
_space_group_name_H-M_alt 'P 1'
_space_group_IT_number 1
loop_
_space_group_symop_operation_xyz
'x,y,z'
loop_
_atom_site_label
_atom_site_fract_x
_atom_site_fract_y
_atom_site_fract_z
Ni1 0.000 0.000 0.000
Ni2 0.500 0.500 0.500
Ir1 0.000 0.000 0.512
Ir2 0.000 0.500 0.273
Ir3 0.500 0.000 0.773
Ir4 0.500 0.500 0.012
Pb1 0.000 0.500 0.744
Pb2 0.500 0.000 0.244
```


Record 10
The following is a DFT calculation (PBE-GGA) of an optimized crystal structure of Tc4PIr.

Computed properties:
The calculated volume is 92.8 Å³ per cell. The value obtained for the formation enthalpy at 0 K is 0.693 eV per atom. For the spin magnetization, the calculation gives 0.00 μB/atom.

The structure in CIF format:
```
data_Tc4PIr
_chemical_formula_sum 'Tc4 P1 Ir1'
_cell_length_a 5.081
_cell_length_b 5.081
_cell_length_c 5.081
_cell_angle_alpha 60.00
_cell_angle_beta 60.00
_cell_angle_gamma 60.00
_space_group_name_H-M_alt 'P 1'
_space_group_IT_number 1
loop_
_space_group_symop_operation_xyz
'x,y,z'
loop_
_atom_site_label
_atom_site_fract_x
_atom_site_fract_y
_atom_site_fract_z
Tc1 0.376 0.376 0.376
Tc2 0.376 0.376 0.873
Tc3 0.376 0.873 0.376
Tc4 0.873 0.376 0.376
P1 0.000 0.000 0.000
Ir1 0.750 0.750 0.750
```


Record 11
The following is a DFT calculation (PBE-GGA) of an optimized crystal structure of CsVCl2.

Computed properties:
The calculated volume is 396.3 Å³ per cell. Its formation energy from raw total energies is -2.8 eV per formula unit. The relative energy among the computed polymorphs is 86 meV/atom. For the spin magnetization, the calculation gives 0.83 μB/atom.

The structure in CIF format:
```
data_CsVCl2
_chemical_formula_sum 'Cs3 V3 Cl6'
_cell_length_a 4.088
_cell_length_b 4.088
_cell_length_c 27.385
_cell_angle_alpha 90.00
_cell_angle_beta 90.00
_cell_angle_gamma 120.00
_space_group_name_H-M_alt 'P 1'
_space_group_IT_number 1
loop_
_space_group_symop_operation_xyz
'x,y,z'
loop_
_atom_site_label
_atom_site_fract_x
_atom_site_fract_y
_atom_site_fract_z
Cs1 0.000 0.000 0.000
Cs2 0.333 0.667 0.667
Cs3 0.667 0.333 0.333
V1 0.000 0.000 0.500
V2 0.333 0.667 0.167
V3 0.667 0.333 0.833
Cl1 0.000 0.000 0.124
Cl2 0.000 0.000 0.876
Cl3 0.333 0.667 0.543
Cl4 0.333 0.667 0.790
Cl5 0.667 0.333 0.210
Cl6 0.667 0.333 0.457
```


Record 12
The following is a DFT calculation (PBE-GGA) of an optimized crystal structure of La6NdEr2Mg.

Computed properties:
The calculated volume is 688.5 Å³ per cell. The value obtained for the formation enthalpy at 0 K is 0.090 eV per atom. For the spin magnetization, the calculation gives 0.00 μB/atom.

The structure in CIF format:
```
data_La6NdEr2Mg
_chemical_formula_sum 'La12 Nd2 Er4 Mg2'
_cell_length_a 8.726
_cell_length_b 8.726
_cell_length_c 9.486
_cell_angle_alpha 95.77
_cell_angle_beta 95.77
_cell_angle_gamma 104.88
_space_group_name_H-M_alt 'P 1'
_space_group_IT_number 1
loop_
_space_group_symop_operation_xyz
'x,y,z'
loop_
_atom_site_label
_atom_site_fract_x
_atom_site_fract_y
_atom_site_fract_z
La1 0.045 0.465 0.671
La2 0.060 0.822 0.901
La3 0.178 0.940 0.599
La4 0.242 0.580 0.081
La5 0.420 0.758 0.419
La6 0.465 0.045 0.171
La7 0.535 0.955 0.829
La8 0.580 0.242 0.581
La9 0.758 0.420 0.919
La10 0.822 0.060 0.401
La11 0.940 0.178 0.099
La12 0.955 0.535 0.329
Nd1 0.431 0.569 0.750
Nd2 0.569 0.431 0.250
Er1 0.235 0.301 0.404
Er2 0.301 0.235 0.904
Er3 0.699 0.765 0.096
Er4 0.765 0.699 0.596
Mg1 0.097 0.903 0.250
Mg2 0.903 0.097 0.750
```


Record 13
The following is a DFT calculation (PBE-GGA) of an optimized crystal structure of TiTc3S.

Computed properties:
The calculated volume is 94.6 Å³ per cell. Its formation energy from raw total energies is 8.5 eV per formula unit. The relative energy among the computed polymorphs is 1515 meV/atom. For the spin magnetization, the calculation gives 0.29 μB/atom.

The structure in CIF format:
```
data_TiTc3S
_chemical_formula_sum 'Ti1 Tc3 S1'
_cell_length_a 4.556
_cell_length_b 4.556
_cell_length_c 4.556
_cell_angle_alpha 90.00
_cell_angle_beta 90.00
_cell_angle_gamma 90.00
_space_group_name_H-M_alt 'P 1'
_space_group_IT_number 1
loop_
_space_group_symop_operation_xyz
'x,y,z'
loop_
_atom_site_label
_atom_site_fract_x
_atom_site_fract_y
_atom_site_fract_z
Ti1 0.000 0.000 0.000
Tc1 0.000 0.000 0.500
Tc2 0.000 0.500 0.000
Tc3 0.500 0.000 0.000
S1 0.500 0.500 0.500
```